No. 1
## Na2In3I2Cl4 (GGA-PBE)

Data for an optimized crystal structure of Na2In3I2Cl4.

Summary:
ΔE_f (raw): -0.96 eV/atom

a b c (Å): 5.089 5.089 27.438
angles (deg): 90.00 90.00 90.00
Space group I4/mmm (No. 139)
Asymmetric unit:
Na1 0.000 0.000 0.087 [4 per cell]
In1 0.000 0.000 0.321 [4 per cell]
In2 0.000 0.000 0.500 [2 per cell]
I1 0.000 0.000 0.201 [4 per cell]
Cl1 0.000 0.500 0.060 [8 per cell]

No. 2
## Ho2CoRh (GGA-PBE)

Data for an optimized crystal structure of Ho2CoRh.

Summary:
Energy of formation from the pure elements: 0.212 eV per atom
Distance to the lowest polymorph of the same formula: 0.7504 eV/atom

a b c (Å): 3.3257 3.3257 26.6102
angles (deg): 90.00 90.00 120.00
Space group R-3m (No. 166, hexagonal axes)
Asymmetric unit:
Ho1 0.0000 0.0000 0.0960 [6 per cell]
Co1 0.0000 0.0000 0.5000 [3 per cell]
Rh1 0.0000 0.0000 0.0000 [3 per cell]

No. 3
## TaCu2 (GGA-PBE)

Data for an optimized crystal structure of TaCu2.

Summary:
Energy of formation from the pure elements: 1.155 eV per atom

a b c (Å): 5.950 5.950 5.950
angles (deg): 90.00 90.00 90.00
Space group Pa-3 (No. 205)
Asymmetric unit:
Ta1 0.000 0.000 0.000 [4 per cell]
Cu1 0.113 0.613 0.887 [8 per cell]

Listing magnetization for the structures above in their given order: 0.00, 1.12, 0.00 μB/cell.
Listing D(E_F) for the structures above in their given order: 0.293, 0.821, 1.026 states/eV per atom.